## Sr3MgBi (PBEsol)

Data for an optimized crystal structure of Sr3MgBi.

## Properties
As for the formation energy: -0.160 eV per atom. Its density of states at the Fermi level is 5.35 states/eV/f.u.

a = 6.3141 Å, b = 6.3141 Å, c = 6.3141 Å
α = 90.00°, β = 90.00°, γ = 90.00°
Last column: nearest neighbours and their distance in Å.
Fractional positions:
Sr 0.0000 0.0000 0.5000  2 Bi 3.16
Sr 0.0000 0.5000 0.0000  2 Bi 3.16
Sr 0.5000 0.0000 0.0000  2 Bi 3.16
Mg 0.5000 0.5000 0.5000  12 Sr 4.46
Bi 0.0000 0.0000 0.0000  6 Sr 3.16

=====

## Ta (PBEsol)

Data for an optimized crystal structure of Ta.

## Properties
The calculation puts the energy above the most stable polymorph in this dataset at 0 meV/atom. As for the formation energy: 0.000 eV per atom. Its density of states at the Fermi level is 1.45 states/eV/f.u.

a = 2.8421 Å, b = 2.8421 Å, c = 2.8421 Å
α = 109.47°, β = 109.47°, γ = 109.47°
Last column: nearest neighbours and their distance in Å.
Fractional positions:
Ta 0.0000 0.0000 0.0000  8 Ta 2.84

=====

## Tl2As2Pb (PBEsol)

Data for an optimized crystal structure of Tl2As2Pb.

## Properties
The calculation puts the energy above the most stable polymorph in this dataset at 79 meV/atom. As for the formation energy: 0.131 eV per atom. Its density of states at the Fermi level is 3.41 states/eV/f.u.

a = 9.6124 Å, b = 9.6124 Å, c = 9.6124 Å
α = 157.40°, β = 157.40°, γ = 32.17°
Last column: nearest neighbours and their distance in Å.
Fractional positions:
Tl 0.1116 0.1116 0.0000  4 As 3.18, 4 Pb 3.37
Tl 0.8884 0.8884 0.0000  4 As 3.18, 4 Pb 3.37
As 0.2500 0.7500 0.5000  4 As 2.66
As 0.7500 0.2500 0.5000  4 As 2.66
Pb 0.5000 0.5000 0.0000  8 Tl 3.37, 4 Pb 3.77

=====

## SiNi2W (PBEsol)

Data for an optimized crystal structure of SiNi2W.

## Properties
The raw formation energy comes out at -0.15 eV/atom. Its density of states at the Fermi level is 3.40 states/eV/f.u.

a = 4.8688 Å, b = 4.8688 Å, c = 4.8688 Å
α = 147.31°, β = 128.43°, γ = 62.41°
Last column: nearest neighbours and their distance in Å.
Fractional positions:
Si 0.0000 0.0000 0.0000  4 Ni 2.35, 4 W 2.52
Ni 0.2285 0.7285 0.5000  2 Si 2.35, 4 Ni 2.55
Ni 0.7715 0.2715 0.5000  2 Si 2.35, 4 Ni 2.55
W 0.5000 0.5000 0.0000  4 Si 2.52, 4 Ni 2.64, 2 W 2.74

=====

## SrMoIr (PBEsol)

Data for an optimized crystal structure of SrMoIr.

## Properties
As for the formation energy: 0.321 eV per atom. Its density of states at the Fermi level is 3.75 states/eV/f.u.

a = 4.1287 Å, b = 4.1287 Å, c = 4.9777 Å
α = 90.00°, β = 90.00°, γ = 120.00°
Last column: nearest neighbours and their distance in Å.
Fractional positions:
Sr 0.0000 0.0000 0.0000  6 Ir 3.31-3.59, 6 Mo 3.38-3.51
Mo 0.6667 0.3333 0.4811  3 Ir 2.40
Ir 0.3333 0.6667 0.5387  3 Mo 2.40

=====

## CrCdPb2 (PBEsol)

Data for an optimized crystal structure of CrCdPb2.

## Properties
As for the formation energy: 0.415 eV per atom. Its density of states at the Fermi level is 2.38 states/eV/f.u.

a = 3.5468 Å, b = 4.7054 Å, c = 5.8972 Å
α = 90.00°, β = 107.30°, γ = 90.00°
Last column: nearest neighbours and their distance in Å.
Fractional positions:
Cr 0.0000 0.0000 0.0000  2 Cd 2.90, 7 Pb 2.98-3.20
Cd 0.8478 0.5000 0.6994  2 Cr 2.90, 7 Pb 3.09-3.10
Pb 0.2636 0.0000 0.5296  3 Cr 2.98-3.20, 4 Cd 3.10
Pb 0.5725 0.5000 0.1504  4 Cr 3.06-3.07, 3 Cd 3.09-3.10

=====

## Tc2Ir (PBEsol)

Data for an optimized crystal structure of Tc2Ir.

## Properties
The calculation puts the energy above the most stable polymorph in this dataset at 102 meV/atom. As for the formation energy: -0.123 eV per atom. Its density of states at the Fermi level is 3.06 states/eV/f.u.

a = 6.0272 Å, b = 6.0272 Å, c = 3.8221 Å
α = 90.00°, β = 90.00°, γ = 142.89°
Last column: nearest neighbours and their distance in Å.
Fractional positions:
Tc 0.0848 0.9152 0.7500  6 Tc 2.68-2.72, 6 Ir 2.71-2.72
Tc 0.2494 0.7506 0.2500  8 Tc 2.68-2.71, 4 Ir 2.70
Tc 0.7506 0.2494 0.7500  8 Tc 2.68-2.71, 4 Ir 2.70
Tc 0.9152 0.0848 0.2500  6 Tc 2.68-2.72, 6 Ir 2.71-2.72
Ir 0.4165 0.5835 0.7500  10 Tc 2.70-2.72, 2 Ir 2.70
Ir 0.5835 0.4165 0.2500  10 Tc 2.70-2.72, 2 Ir 2.70

=====

## ZrZn2SbC (PBEsol)

Data for an optimized crystal structure of ZrZn2SbC.

## Properties
The raw formation energy comes out at 1.20 eV/atom. Its density of states at the Fermi level is 3.44 states/eV/f.u.

a = 5.1903 Å, b = 5.1903 Å, c = 4.0935 Å
α = 90.00°, β = 90.00°, γ = 90.00°
Last column: nearest neighbours and their distance in Å.
Fractional positions:
Zr 0.0000 0.0000 0.0000  2 C 2.05
Zn 0.0000 0.5000 0.0000  2 Zr 2.60
Zn 0.5000 0.0000 0.0000  2 Zr 2.60
Sb 0.5000 0.5000 0.5000  8 Zn 3.31, 4 C 3.67
C 0.0000 0.0000 0.5000  2 Zr 2.05

=====

## Ca2GaHg (PBEsol)

Data for an optimized crystal structure of Ca2GaHg.

## Properties
As for the formation energy: -0.537 eV per atom. Its density of states at the Fermi level is 2.29 states/eV/f.u.

a = 5.1874 Å, b = 5.1874 Å, c = 5.1874 Å
α = 60.00°, β = 60.00°, γ = 60.00°
Last column: nearest neighbours and their distance in Å.
Fractional positions:
Ca 0.2500 0.2500 0.2500  4 Hg 3.18, 4 Ga 3.18
Ca 0.7500 0.7500 0.7500  4 Hg 3.18, 4 Ga 3.18
Ga 0.0000 0.0000 0.0000  8 Ca 3.18
Hg 0.5000 0.5000 0.5000  8 Ca 3.18

=====

## MnAlAsSe2 (PBEsol)

Data for an optimized crystal structure of MnAlAsSe2.

## Properties
The raw formation energy comes out at 0.28 eV/atom. Its density of states at the Fermi level is 3.89 states/eV/f.u.

a = 4.8027 Å, b = 4.8027 Å, c = 4.5132 Å
α = 90.00°, β = 90.00°, γ = 90.00°
Last column: nearest neighbours and their distance in Å.
Fractional positions:
Mn 0.0000 0.0000 0.0000  2 As 2.26, 4 Se 2.40
Al 0.5000 0.5000 0.5000  8 Se 3.30, 4 As 3.40
As 0.0000 0.0000 0.5000  2 Mn 2.26
Se 0.0000 0.5000 0.0000  2 Mn 2.40
Se 0.5000 0.0000 0.0000  2 Mn 2.40

=====

## Cd2CoRu (PBEsol)

Data for an optimized crystal structure of Cd2CoRu.

## Properties
The calculation puts the energy above the most stable polymorph in this dataset at 31 meV/atom. As for the formation energy: 0.457 eV per atom. Its density of states at the Fermi level is 3.49 states/eV/f.u.

a = 5.2140 Å, b = 5.2140 Å, c = 5.2140 Å
α = 144.97°, β = 130.17°, γ = 62.36°
Last column: nearest neighbours and their distance in Å.
Fractional positions:
Cd 0.2372 0.2372 0.0000  2 Co 2.63, 4 Cd 2.71, 2 Ru 2.82
Cd 0.7628 0.7628 0.0000  2 Co 2.63, 4 Cd 2.71, 2 Ru 2.82
Co 0.0000 0.5000 0.5000  4 Cd 2.63, 4 Ru 2.70
Ru 0.5000 0.0000 0.5000  4 Co 2.70, 4 Cd 2.82

=====

## BaTe3 (PBEsol)

Data for an optimized crystal structure of BaTe3.

## Properties
The raw formation energy comes out at -0.90 eV/atom.

a = 7.9147 Å, b = 7.9147 Å, c = 4.2512 Å
α = 90.00°, β = 90.00°, γ = 90.00°
Last column: nearest neighbours and their distance in Å.
Fractional positions:
Ba 0.0000 0.0000 0.0000  12 Te 3.57-3.96
Ba 0.5000 0.5000 0.0000  12 Te 3.57-3.96
Te 0.0000 0.5000 0.0190  4 Te 2.98-3.08
Te 0.1929 0.3071 0.5014  2 Te 2.98-3.08
Te 0.3071 0.8071 0.4986  2 Te 2.98-3.08
Te 0.5000 0.0000 0.9810  4 Te 2.98-3.08
Te 0.6929 0.1929 0.4986  2 Te 2.98-3.08
Te 0.8071 0.6929 0.5014  2 Te 2.98-3.08

=====

## La2MgSc (PBEsol)

Data for an optimized crystal structure of La2MgSc.

## Properties
As for the formation energy: 0.002 eV per atom. Its density of states at the Fermi level is 5.73 states/eV/f.u.

a = 3.5901 Å, b = 3.5901 Å, c = 8.8517 Å
α = 90.00°, β = 90.00°, γ = 90.00°
Last column: nearest neighbours and their distance in Å.
Fractional positions:
La 0.0000 0.0000 0.0000  4 Sc 3.39, 8 La 3.58-3.59
La 0.5000 0.5000 0.2848  4 Mg 3.43, 8 La 3.58-3.59
Mg 0.0000 0.0000 0.5457  4 Sc 3.10, 4 La 3.43
Sc 0.5000 0.5000 0.7459  4 Mg 3.10, 4 La 3.39

=====

## LiTaGe2Cl (PBEsol)

Data for an optimized crystal structure of LiTaGe2Cl.

## Properties
The raw formation energy comes out at 0.72 eV/atom. Its density of states at the Fermi level is 5.06 states/eV/f.u.

a = 4.6926 Å, b = 4.6926 Å, c = 3.9570 Å
α = 90.00°, β = 90.00°, γ = 90.00°
Last column: nearest neighbours and their distance in Å.
Fractional positions:
Li 0.0000 0.0000 0.0000  2 Cl 1.98
Ta 0.5000 0.5000 0.5000  8 Ge 3.07, 4 Cl 3.32
Ge 0.0000 0.5000 0.0000  2 Li 2.35
Ge 0.5000 0.0000 0.0000  2 Li 2.35
Cl 0.0000 0.0000 0.5000  2 Li 1.98

=====

## Re2IrRu (PBEsol)

Data for an optimized crystal structure of Re2IrRu.

## Properties
As for the formation energy: -0.218 eV per atom. Its density of states at the Fermi level is 2.10 states/eV/f.u.

a = 2.7250 Å, b = 4.3395 Å, c = 4.7513 Å
α = 90.00°, β = 90.00°, γ = 90.00°
Last column: nearest neighbours and their distance in Å.
Fractional positions:
Re 0.0000 0.0000 0.0000  4 Ru 2.68, 4 Re 2.68-2.73, 4 Ir 2.73-2.75
Re 0.0000 0.5000 0.3320  4 Ir 2.68, 4 Re 2.68-2.73, 4 Ru 2.71-2.76
Ir 0.5000 0.0000 0.4978  8 Re 2.68-2.75, 2 Ru 2.70, 2 Ir 2.73
Ru 0.5000 0.5000 0.8377  8 Re 2.68-2.76, 2 Ir 2.70, 2 Ru 2.73

=====

## YAsSe2Cl (PBEsol)

Data for an optimized crystal structure of YAsSe2Cl.

## Properties
The raw formation energy comes out at 0.06 eV/atom. Its density of states at the Fermi level is 6.08 states/eV/f.u.

a = 5.2698 Å, b = 5.2698 Å, c = 5.5927 Å
α = 90.00°, β = 90.00°, γ = 90.00°
Last column: nearest neighbours and their distance in Å.
Fractional positions:
Y 0.0000 0.0000 0.0000  4 Se 2.63, 2 As 2.80
As 0.0000 0.0000 0.5000  2 Y 2.80
Se 0.0000 0.5000 0.0000  2 Y 2.63
Se 0.5000 0.0000 0.0000  2 Y 2.63
Cl 0.5000 0.5000 0.5000  4 As 3.73, 8 Se 3.84

=====

## YTlN2 (PBEsol)

Data for an optimized crystal structure of YTlN2.

## Properties
The raw formation energy comes out at -0.39 eV/atom. The calculation puts the energy above the most stable polymorph in this dataset at 0 meV/atom.

a = 6.5691 Å, b = 6.5691 Å, c = 6.5691 Å
α = 32.24°, β = 32.24°, γ = 32.24°
Last column: nearest neighbours and their distance in Å.
Fractional positions:
Y 0.0000 0.0000 0.0000  6 N 2.38
Tl 0.5000 0.5000 0.5000  2 N 1.99
N 0.3933 0.3933 0.3933  1 Tl 1.99
N 0.6067 0.6067 0.6067  1 Tl 1.99

=====

## PdN2Cl2 (PBEsol)

Data for an optimized crystal structure of PdN2Cl2.

## Properties
The raw formation energy comes out at 0.48 eV/atom. Its density of states at the Fermi level is 2.34 states/eV/f.u.

a = 4.8173 Å, b = 4.8173 Å, c = 4.8173 Å
α = 118.16°, β = 118.16°, γ = 93.21°
Last column: nearest neighbours and their distance in Å.
Fractional positions:
Pd 0.0000 0.0000 0.0000  2 N 2.75, 8 Cl 2.98
N 0.4157 0.4157 0.0000  1 N 1.12
N 0.5843 0.5843 0.0000  1 N 1.12
Cl 0.2500 0.7500 0.5000  4 N 2.71, 4 Pd 2.98
Cl 0.7500 0.2500 0.5000  4 N 2.71, 4 Pd 2.98

=====

## TcSbP2 (PBEsol)

Data for an optimized crystal structure of TcSbP2.

## Properties
The raw formation energy comes out at 0.69 eV/atom. Its density of states at the Fermi level is 3.92 states/eV/f.u.

a = 3.8070 Å, b = 3.8070 Å, c = 4.5140 Å
α = 90.00°, β = 90.00°, γ = 90.00°
Last column: nearest neighbours and their distance in Å.
Fractional positions:
Tc 0.0000 0.0000 0.0000  4 Sb 2.69, 8 P 2.95
Sb 0.5000 0.5000 0.0000  4 Tc 2.69, 8 P 2.95
P 0.0000 0.5000 0.5000  4 P 2.69, 4 Tc 2.95, 4 Sb 2.95
P 0.5000 0.0000 0.5000  4 P 2.69, 4 Tc 2.95, 4 Sb 2.95

=====

## TlZnFe2 (PBEsol)

Data for an optimized crystal structure of TlZnFe2.

## Properties
The calculation puts the energy above the most stable polymorph in this dataset at 20 meV/atom. As for the formation energy: 0.412 eV per atom. Its density of states at the Fermi level is 2.95 states/eV/f.u.

a = 4.7744 Å, b = 4.7744 Å, c = 4.7744 Å
α = 132.84°, β = 132.84°, γ = 68.91°
Last column: nearest neighbours and their distance in Å.
Fractional positions:
Tl 0.0000 0.0000 0.0000  8 Fe 2.70-2.74, 4 Zn 2.74
Zn 0.7500 0.2500 0.5000  8 Fe 2.70-2.74, 4 Tl 2.74
Fe 0.2500 0.7500 0.5000  4 Zn 2.70, 4 Tl 2.74, 4 Fe 2.74
Fe 0.5000 0.5000 0.0000  4 Tl 2.70, 4 Zn 2.74, 4 Fe 2.74

=====

Number 1: magnetic moment 0.0 Bohr magnetons per cell, volume 50.35 Å³/atom. Number 2: magnetic moment 0.0 Bohr magnetons per cell, volume 17.67 Å³/atom. Number 3: magnetic moment 0.0 Bohr magnetons per cell, volume 26.21 Å³/atom. Number 4: magnetic moment 0.0 Bohr magnetons per cell, volume 12.08 Å³/atom. Number 5: magnetic moment 0.0 Bohr magnetons per cell, volume 24.49 Å³/atom. Number 6: magnetic moment 3.9 Bohr magnetons per cell, volume 23.49 Å³/atom. Number 7: magnetic moment 0.0 Bohr magnetons per cell, volume 13.96 Å³/atom. Number 8: magnetic moment 0.0 Bohr magnetons per cell, volume 22.05 Å³/atom. Number 9: magnetic moment 0.0 Bohr magnetons per cell, volume 24.68 Å³/atom. Number 10: magnetic moment 2.4 Bohr magnetons per cell, volume 20.82 Å³/atom. Number 11: magnetic moment 2.4 Bohr magnetons per cell, volume 15.37 Å³/atom. Number 12: magnetic moment 0.0 Bohr magnetons per cell, volume 33.29 Å³/atom. Number 13: magnetic moment 0.0 Bohr magnetons per cell, volume 28.52 Å³/atom. Number 14: magnetic moment 0.2 Bohr magnetons per cell, volume 17.43 Å³/atom. Number 15: magnetic moment 0.0 Bohr magnetons per cell, volume 14.05 Å³/atom. Number 16: magnetic moment 0.0 Bohr magnetons per cell, volume 31.06 Å³/atom. Number 17: magnetic moment 0.0 Bohr magnetons per cell, volume 17.92 Å³/atom. Number 18: magnetic moment 2.0 Bohr magnetons per cell, volume 16.22 Å³/atom. Number 19: magnetic moment 0.0 Bohr magnetons per cell, volume 16.36 Å³/atom. Number 20: magnetic moment 4.8 Bohr magnetons per cell, volume 14.36 Å³/atom.